[1]
Computed, not measured: a relaxed SbBrCl crystal at the PBEsol level of DFT.

POSCAR file:
```
SbBrCl
1.0
-0.594 -3.208 -3.602
3.685 -0.980 -3.013
2.220 -4.318 0.201
Cl Br Sb
1 1 1
Direct
0.250 0.250 0.250
0.500 0.500 0.500
0.000 0.000 0.000
```

Values from the calculation:
- ΔE_f (raw): 69 kJ/mol of formula units
- Total energy: -0.18924 Ry per atom
- Magnetic moment: 0.00 μB/f.u.

=====

[2]
Computed, not measured: a relaxed KCaSb2 crystal at the PBEsol level of DFT.

POSCAR file:
```
KCaSb2
1.0
-3.876 1.678 0.615
-1.769 -3.392 -1.894
-0.422 -3.266 6.245
Sb K Ca
2 1 1
Direct
0.500 0.500 0.274
0.000 0.000 0.014
0.500 0.500 0.777
0.000 0.000 0.435
```

Values from the calculation:
- ΔE_f (raw): -77 kJ/mol of formula units
- Total energy: -0.24226 Ry per atom
- Polymorph energy (0 for the lowest one): 429 meV per atom
- Magnetic moment: 0.00 μB/f.u.

=====

[3]
Computed, not measured: a relaxed BaNa2O2 crystal at the PBEsol level of DFT.

POSCAR file:
```
BaNa2O2
1.0
6.532 0.000 -0.056
0.000 6.857 0.000
-1.238 0.000 8.320
O Ba Na
8 4 8
Direct
0.172 0.077 0.863
0.672 0.423 0.863
0.236 0.615 0.538
0.828 0.923 0.137
0.736 0.885 0.538
0.264 0.115 0.462
0.328 0.577 0.137
0.764 0.385 0.462
0.084 0.397 0.303
0.584 0.103 0.303
0.416 0.897 0.697
0.916 0.603 0.697
0.031 0.864 0.380
0.969 0.136 0.620
0.469 0.364 0.620
0.360 0.346 0.947
0.531 0.636 0.380
0.140 0.846 0.053
0.860 0.154 0.947
0.640 0.654 0.053
```

Values from the calculation:
- ΔE_f (raw): -785 kJ/mol of formula units
- Total energy: -0.34662 Ry per atom
- Polymorph energy (0 for the lowest one): 28 meV per atom
- Magnetic moment: 0.00 μB/f.u.

=====

[4]
Computed, not measured: a relaxed TaTc2Ag crystal at the PBEsol level of DFT.

POSCAR file:
```
TaTc2Ag
1.0
2.777 0.000 0.000
0.000 2.777 0.000
0.000 0.000 8.075
Ag Ta Tc
1 1 2
Direct
0.000 0.000 0.492
0.500 0.500 0.765
0.500 0.500 0.225
0.000 0.000 0.018
```

Values from the calculation:
- Total energy: -0.69092 Ry per atom
- Energy relative to the elements: 0.1982 eV per atom
- Polymorph energy (0 for the lowest one): 0 meV per atom
- Magnetic moment: 0.00 μB/f.u.

=====

Which value of total energy does entry 1 give? -0.18924 Ry per atom

=====

Repeat the third record exactly.
Computed, not measured: a relaxed BaNa2O2 crystal at the PBEsol level of DFT.

POSCAR file:
```
BaNa2O2
1.0
6.532 0.000 -0.056
0.000 6.857 0.000
-1.238 0.000 8.320
O Ba Na
8 4 8
Direct
0.172 0.077 0.863
0.672 0.423 0.863
0.236 0.615 0.538
0.828 0.923 0.137
0.736 0.885 0.538
0.264 0.115 0.462
0.328 0.577 0.137
0.764 0.385 0.462
0.084 0.397 0.303
0.584 0.103 0.303
0.416 0.897 0.697
0.916 0.603 0.697
0.031 0.864 0.380
0.969 0.136 0.620
0.469 0.364 0.620
0.360 0.346 0.947
0.531 0.636 0.380
0.140 0.846 0.053
0.860 0.154 0.947
0.640 0.654 0.053
```

Values from the calculation:
- ΔE_f (raw): -785 kJ/mol of formula units
- Total energy: -0.34662 Ry per atom
- Polymorph energy (0 for the lowest one): 28 meV per atom
- Magnetic moment: 0.00 μB/f.u.

=====

magnetic moment of number 2 (KCaSb2)? 0.00 μB/f.u.